Record 1
The following is a DFT calculation (GGA-PBE) of ErPuPa2N5 after structural relaxation.

Computed properties:
E_tot: -10.311 eV per atom
Uncorrected formation energy: -1.477 eV/atom

a = 3.6182 Å, b = 7.1513 Å, c = 11.3884 Å
α = 90.00°, β = 90.00°, γ = 104.65°
Last column: magnetic moment on the atom in μB.
Sites, in units of the cell vectors:
1 Er 0.7478 0.4955 0.4630  -0.12
2 Er 0.2522 0.5045 0.9630  -0.12
3 Pu 0.5157 0.0314 0.9779  -4.94
4 Pu 0.4843 0.9686 0.4779  -4.94
5 Pa 0.8544 0.7088 0.7288  -0.23
6 Pa 0.1289 0.2579 0.6938  -0.37
7 Pa 0.1456 0.2912 0.2288  -0.23
8 Pa 0.8711 0.7421 0.1938  -0.37
9 N 0.3775 0.7549 0.0864  0.04
10 N 0.6989 0.3978 0.8239  0.04
11 N 0.3881 0.7762 0.8385  0.05
12 N 0.2857 0.5713 0.6118  0.03
13 N 0.9757 0.9514 0.5998  0.10
14 N 0.6225 0.2451 0.5864  0.04
15 N 0.3011 0.6022 0.3239  0.04
16 N 0.6119 0.2238 0.3385  0.05
17 N 0.7143 0.4287 0.1118  0.03
18 N 0.0243 0.0486 0.0998  0.10

Record 2
The following is a DFT calculation (GGA-PBE) of Er2PuPaN4 after structural relaxation.

Computed properties:
E_tot: -9.888 eV per atom
Uncorrected formation energy: -1.606 eV/atom

a = 3.4719 Å, b = 5.9881 Å, c = 6.0009 Å
α = 109.53°, β = 90.00°, γ = 90.00°
Last column: magnetic moment on the atom in μB.
Sites, in units of the cell vectors:
1 Er 0.5000 0.0000 0.5000  0.08
2 Er 0.0000 0.5000 0.5000  0.06
3 Pu 0.0000 0.0000 0.0000  4.79
4 Pa 0.5000 0.5000 0.0000  0.33
5 N 0.5000 0.2563 0.2464  -0.09
6 N 0.5000 0.7437 0.7536  -0.09
7 N 0.0000 0.2584 0.7515  -0.04
8 N 0.0000 0.7416 0.2485  -0.04

Record 3
The following is a DFT calculation (GGA-PBE) of ErPu2PaN4 after structural relaxation.

Computed properties:
E_tot: -10.993 eV per atom
Uncorrected formation energy: -1.490 eV/atom

a = 3.4950 Å, b = 6.0200 Å, c = 6.0248 Å
α = 109.41°, β = 90.00°, γ = 90.00°
Last column: magnetic moment on the atom in μB.
Sites, in units of the cell vectors:
1 Er 0.5000 0.5000 0.0000  0.10
2 Pu 0.5000 0.0000 0.5000  4.90
3 Pu 0.0000 0.5000 0.5000  4.96
4 Pa 0.0000 0.0000 0.0000  0.47
5 N 0.5000 0.2431 0.2364  -0.11
6 N 0.5000 0.7569 0.7636  -0.11
7 N 0.0000 0.2463 0.7583  -0.12
8 N 0.0000 0.7537 0.2417  -0.12

Record 4
The following is a DFT calculation (GGA-PBE) of ErPa2RhN5 after structural relaxation.

Computed properties:
E_tot: -9.190 eV per atom
Uncorrected formation energy: -1.131 eV/atom

a = 3.3728 Å, b = 6.8848 Å, c = 10.3450 Å
α = 90.00°, β = 90.00°, γ = 104.18°
Sites, in units of the cell vectors:
1 Er 0.8010 0.6020 0.5031
2 Er 0.1990 0.3980 0.0031
3 Pa 0.8580 0.7159 0.7992
4 Pa 0.1072 0.2143 0.6848
5 Pa 0.1420 0.2841 0.2992
6 Pa 0.8928 0.7857 0.1848
7 Rh 0.5225 0.0451 0.9563
8 Rh 0.4775 0.9549 0.4563
9 N 0.3681 0.7362 0.9992
10 N 0.6718 0.3436 0.8515
11 N 0.4813 0.9627 0.7714
12 N 0.2798 0.5596 0.6744
13 N 0.9556 0.9112 0.5839
14 N 0.6319 0.2638 0.4992
15 N 0.3282 0.6564 0.3515
16 N 0.5187 0.0373 0.2714
17 N 0.7202 0.4404 0.1744
18 N 0.0444 0.0888 0.0839

Record 5
The following is a DFT calculation (GGA-PBE) of ErPa2RhN4 after structural relaxation.

Computed properties:
E_tot: -9.291 eV per atom
Uncorrected formation energy: -1.265 eV/atom

a = 3.4949 Å, b = 5.9683 Å, c = 11.7366 Å
α = 90.00°, β = 90.00°, γ = 107.02°
Sites, in units of the cell vectors:
1 Er 0.1069 0.2138 0.7500
2 Er 0.8931 0.7862 0.2500
3 Pa 0.3698 0.7395 0.5639
4 Pa 0.6302 0.2605 0.0639
5 Pa 0.6302 0.2605 0.4361
6 Pa 0.3698 0.7395 0.9361
7 Rh 0.8433 0.6867 0.7500
8 Rh 0.1567 0.3133 0.2500
9 N 0.2719 0.5438 0.1007
10 N 0.7281 0.4562 0.6007
11 N 0.7281 0.4562 0.8993
12 N 0.2719 0.5438 0.3993
13 N 0.0000 0.0000 0.5000
14 N 0.0000 0.0000 0.0000
15 N 0.4750 0.9499 0.7500
16 N 0.5250 0.0501 0.2500

Record 6
The following is a DFT calculation (GGA-PBE) of ErPaS2N after structural relaxation.

Computed properties:
E_tot: -8.067 eV per atom
Uncorrected formation energy: -1.939 eV/atom

a = 3.8120 Å, b = 3.8120 Å, c = 13.3278 Å
α = 90.00°, β = 90.00°, γ = 90.00°
Last column: magnetic moment on the atom in μB.
Sites, in units of the cell vectors:
1 Er 0.5000 0.0000 0.1031  0.00
2 Er 0.0000 0.5000 0.8969  0.00
3 Pa 0.5000 0.0000 0.5936  0.12
4 Pa 0.0000 0.5000 0.4064  0.12
5 S 0.0000 0.5000 0.6927  0.00
6 S 0.0000 0.5000 0.1064  0.00
7 S 0.5000 0.0000 0.8936  0.00
8 S 0.5000 0.0000 0.3073  0.00
9 N 0.0000 0.0000 0.5000  -0.01
10 N 0.5000 0.5000 0.5000  -0.01

- The highest uncorrected formation energy belongs to which entry?
  ErPa2RhN5

- uncorrected formation energy of number 5 (ErPa2RhN4)?
  -1.265 eV/atom

- Among the records above, which one has the lowest E_tot?
  ErPu2PaN4